# CrOsS3

An optimized crystal structure of CrOsS3 (GGA-PBE, Alexandria via LeMat-Bulk).

The structure belongs to space group Pm-3m (No. 221); the cell edges are 4.3343, 4.3343 and 4.3343 Å and the angles 90.00°, 90.00° and 90.00°. The inequivalent atoms are Cr at (0.0000, 0.0000, 0.0000), Os at (0.5000, 0.5000, 0.5000) and S at (0.0000, 0.0000, 0.5000).

The density of states at the Fermi level comes out at 5.20 states/eV per cell. The density comes out at 6.9 g/cm³. The value obtained for the distance to the lowest polymorph of the same formula is 0.000 eV per atom. For the raw formation energy, the calculation gives 1.087 eV/atom. For the total moment, the calculation gives 0.00 μB per atom.